{"formula": "GaNi14Mo", "functional": "GGA-PBE", "state": "relaxed", "magmom_total_mub_per_cell": 4.6, "n_ef_per_ev_atom": 1.655, "delta_e_f_ev_per_atom": -0.07, "lattice_angstrom": [[5.053, 0.000, 0.000], [0.000, 5.053, 0.000], [0.000, 0.000, 7.080]], "species": ["Ga", "Ni", "Ni", "Ni", "Ni", "Ni", "Ni", "Ni", "Ni", "Ni", "Ni", "Ni", "Ni", "Ni", "Ni", "Mo"], "frac_coords": [[0.000, 0.000, 0.000], [0.000, 0.000, 0.500], [0.000, 0.500, 0.000], [0.000, 0.500, 0.500], [0.250, 0.250, 0.255], [0.250, 0.250, 0.745], [0.250, 0.750, 0.255], [0.250, 0.750, 0.745], [0.500, 0.000, 0.000], [0.500, 0.000, 0.500], [0.500, 0.500, 0.500], [0.750, 0.250, 0.255], [0.750, 0.250, 0.745], [0.750, 0.750, 0.255], [0.750, 0.750, 0.745], [0.500, 0.500, 0.000]]}